Entry 1:
# CrNi3Pt

A geometry-optimized CrNi3Pt structure (GGA-PBE, the Alexandria database).

```
CrNi3Pt
1.0
4.168 0.000 0.000
0.000 4.168 0.000
0.000 0.000 4.168
Cr Ni Pt
1 3 1
Cartesian
0.000 0.000 0.000
0.000 0.000 2.084
0.000 2.084 0.000
2.084 0.000 0.000
2.084 2.084 2.084
```

- DOS(E_F) (states/eV/f.u.) = 4.56
- ΔH_f (0 K) (kcal/mol of atoms) = 24.40
- calculated volume (Å³ per cell) = 72.4
- electronic total energy (eV per atom) = -5.544
- energy relative to the lowest polymorph listed for this composition (meV per atom) = 1127
- SG = No. 221

Entry 2:
# CrNi23Pt6

A geometry-optimized CrNi23Pt6 structure (GGA-PBE, the Alexandria database).

```
CrNi23Pt6
1.0
0.000 5.678 5.678
5.678 0.000 5.678
5.678 5.678 0.000
Cr Ni Pt
1 23 6
Cartesian
0.000 0.000 0.000
2.839 2.839 0.000
2.839 0.000 2.839
5.678 2.839 2.839
7.078 4.277 4.277
1.839 1.839 1.839
3.838 3.838 1.839
3.838 1.839 3.838
4.277 4.277 4.277
7.078 7.078 4.277
7.078 4.277 7.078
9.516 7.517 7.517
0.000 2.839 2.839
2.839 5.678 2.839
2.839 2.839 5.678
5.678 5.678 5.678
1.839 3.838 3.838
4.277 7.078 4.277
4.277 4.277 7.078
7.078 7.078 7.078
7.517 9.516 7.517
7.517 7.517 9.516
9.516 9.516 9.516
4.277 7.078 7.078
5.678 5.678 2.603
5.678 2.603 5.678
8.752 5.678 5.678
2.603 5.678 5.678
5.678 8.752 5.678
5.678 5.678 8.752
```

- DOS(E_F) (states/eV/f.u.) = 45.32
- ΔH_f (0 K) (kcal/mol of atoms) = 1.30
- calculated volume (Å³ per cell) = 366.1
- electronic total energy (eV per atom) = -5.905
- SG = No. 225

- What is the electronic total energy in the second record?
  -5.905 eV per atom